# 1
## La2AlAu (SCAN)

Data for a PBEsol-optimized structure of La2AlAu.

Cell: 3.7085 4.7995 5.5353 Å, 90.00 90.10 90.00°
Positions (direct):
La: 0.0000 0.0000 0.0000
La: 0.0036 0.5000 0.6302
Al: 0.5015 0.5000 0.1626
Au: 0.5025 0.0000 0.4564

## Properties
Density of states at the Fermi level: 0.522 states/eV per atom
V: 24.6 Å³ per atom
Space-group type: Pm, No. 6
Energy: -41.468 eV/atom
ΔE_f: -66.5 kJ per mole of atoms

***

# 2
## W3CBr (SCAN)

Data for a PBEsol-optimized structure of W3CBr.

Cell: 4.5297 4.5297 4.5297 Å, 90.00 90.00 90.00°
Positions (direct):
W: 0.0000 0.0000 0.5000
W: 0.0000 0.5000 0.0000
W: 0.5000 0.0000 0.0000
C: 0.5000 0.5000 0.5000
Br: 0.0000 0.0000 0.0000

## Properties
Density of states at the Fermi level: 0.363 states/eV per atom
Formation energy (no corrections): 3782 meV per atom
V: 18.6 Å³ per atom
Space-group type: Pm-3m, No. 221
Energy: -43.943 eV/atom

***

# 3
## Pb8Cl (SCAN)

Data for a PBEsol-optimized structure of Pb8Cl.

Cell: 7.6611 7.6611 7.6611 Å, 95.93 95.93 142.49°
Positions (direct):
Pb: 0.0000 0.3326 0.3326
Pb: 0.0000 0.6674 0.6674
Pb: 0.3308 0.3308 0.6616
Pb: 0.3308 0.6692 0.0000
Pb: 0.3326 0.0000 0.3326
Pb: 0.6674 0.0000 0.6674
Pb: 0.6692 0.3308 0.0000
Pb: 0.6692 0.6692 0.3384
Cl: 0.0000 0.0000 0.0000

## Properties
Density of states at the Fermi level: 0.466 states/eV per atom
Formation energy (no corrections): -110 meV per atom
V: 28.8 Å³ per atom
Space-group type: I4/mmm, No. 139
Energy: -68.358 eV/atom

***

> Number 1 is which compound?

La2AlAu

***

Copy entry 1 word for word.
## La2AlAu (SCAN)

Data for a PBEsol-optimized structure of La2AlAu.

Cell: 3.7085 4.7995 5.5353 Å, 90.00 90.10 90.00°
Positions (direct):
La: 0.0000 0.0000 0.0000
La: 0.0036 0.5000 0.6302
Al: 0.5015 0.5000 0.1626
Au: 0.5025 0.0000 0.4564

## Properties
Density of states at the Fermi level: 0.522 states/eV per atom
V: 24.6 Å³ per atom
Space-group type: Pm, No. 6
Energy: -41.468 eV/atom
ΔE_f: -66.5 kJ per mole of atoms